Material: MnCuSbO5
Method: DFT, PBE with a Hubbard U
State: optimized geometry

ρ = 4.99 g/cm³
energy = -49.26 eV/f.u.
SG = C2/c (15)

Structure (POSCAR):
```
MnCuSbO5
1.0
-1.876 2.481 -4.780
-5.021 -1.107 2.467
3.558 5.235 4.136
O Cu Sb Mn
10 2 2 2
Direct
0.234 0.771 0.972
0.934 0.066 0.750
0.771 0.234 0.472
0.229 0.766 0.528
0.709 0.679 0.852
0.321 0.291 0.648
0.766 0.229 0.028
0.066 0.934 0.250
0.291 0.321 0.148
0.679 0.709 0.352
0.347 0.653 0.750
0.653 0.347 0.250
0.000 0.000 0.000
0.000 0.000 0.500
0.701 0.299 0.750
0.299 0.701 0.250
```